[1]
Computed, not measured: a relaxed NbTeH2PdI crystal at the PBE level of DFT.

Cell lengths 3.6438, 4.2987, 7.3179 Å; angles 90.00, 90.00, 90.00 degrees
Element x y z (fractional)
Nb 0.0000 0.0000 0.0000
Te 0.5000 0.0000 0.6933
H 0.0000 0.5000 0.8971
H 0.5000 0.0000 0.0975
Pd 0.5000 0.5000 0.8963
I 0.0000 0.5000 0.2797

Values from the calculation:
Symmetry: Pmm2, No. 25
ΔE to the lowest computed polymorph: 0.00 eV/f.u.
Size of the total moment: 0.00 μB/f.u.

***

[2]
Computed, not measured: a relaxed Ho3Ga2Ag4 crystal at the PBE level of DFT.

Cell lengths 5.8067, 5.8067, 8.7661 Å; angles 113.90, 113.90, 46.76 degrees
Element x y z (fractional)
Ho 0.0000 0.0000 0.0000
Ho 0.3416 0.3416 0.3268
Ho 0.6584 0.6584 0.6732
Ga 0.3767 0.3767 0.7074
Ga 0.6233 0.6233 0.2926
Ag 0.0745 0.0745 0.4014
Ag 0.2871 0.2871 0.9426
Ag 0.7129 0.7129 0.0574
Ag 0.9255 0.9255 0.5986

Values from the calculation:
Symmetry: C2/m, No. 12
ΔE_f: -392 meV/atom
Size of the total moment: 0.00 μB/f.u.

***

[3]
Computed, not measured: a relaxed TlCuO crystal at the PBE level of DFT.

Cell lengths 6.9703, 6.9703, 6.9703 Å; angles 100.39, 100.39, 129.73 degrees
Element x y z (fractional)
Tl 0.0000 0.2842 0.2842
Tl 0.0000 0.7158 0.7158
Tl 0.2842 0.0000 0.2842
Tl 0.7158 0.0000 0.7158
Cu 0.3518 0.3518 0.7036
Cu 0.3518 0.6482 0.0000
Cu 0.6482 0.3518 0.0000
Cu 0.6482 0.6482 0.2964
O 0.2068 0.5000 0.7068
O 0.5000 0.2068 0.7068
O 0.5000 0.7932 0.2932
O 0.7932 0.5000 0.2932

Values from the calculation:
Symmetry: I4/mmm, No. 139
ΔE to the lowest computed polymorph: 0.00 eV/f.u.
Size of the total moment: 0.00 μB/f.u.
Formation energy (no corrections): -0.492 eV per atom

***

[4]
Computed, not measured: a relaxed Ca2AcRh9 crystal at the PBE level of DFT.

Cell lengths 9.3115, 9.3115, 9.3115 Å; angles 33.44, 33.44, 33.44 degrees
Element x y z (fractional)
Ca 0.1415 0.1415 0.1415
Ca 0.8585 0.8585 0.8585
Ac 0.0000 0.0000 0.0000
Rh 0.0836 0.5824 0.5824
Rh 0.3332 0.3332 0.3332
Rh 0.4176 0.4176 0.9164
Rh 0.4176 0.9164 0.4176
Rh 0.5000 0.5000 0.5000
Rh 0.5824 0.0836 0.5824
Rh 0.5824 0.5824 0.0836
Rh 0.6668 0.6668 0.6668
Rh 0.9164 0.4176 0.4176

Values from the calculation:
Symmetry: R-3m, No. 166
ΔE_f: -352 meV/atom
Size of the total moment: 0.00 μB/f.u.

***

[5]
Computed, not measured: a relaxed K2LaGe2O6 crystal at the PBE level of DFT.

Cell lengths 6.1387, 6.1387, 7.1461 Å; angles 117.02, 117.02, 60.85 degrees
Element x y z (fractional)
K 0.2052 0.2052 0.1685
K 0.7948 0.7948 0.8315
La 0.0000 0.0000 0.5000
Ge 0.4549 0.4549 0.7895
Ge 0.5451 0.5451 0.2105
O 0.2241 0.6975 0.2274
O 0.2612 0.2612 0.6402
O 0.3025 0.7759 0.7726
O 0.6975 0.2241 0.2274
O 0.7388 0.7388 0.3598
O 0.7759 0.3025 0.7726

Values from the calculation:
Symmetry: C2/m, No. 12
Size of the total moment: 0.95 μB/f.u.
Formation energy (no corrections): -2.020 eV per atom

***

[6]
Computed, not measured: a relaxed NaLa2Ni crystal at the PBE level of DFT.

Cell lengths 10.9702, 10.9702, 10.9702 Å; angles 21.00, 21.00, 21.00 degrees
Element x y z (fractional)
Na 0.0000 0.0000 0.0000
La 0.1174 0.1174 0.1174
La 0.8826 0.8826 0.8826
Ni 0.5000 0.5000 0.5000

Values from the calculation:
Symmetry: R-3m, No. 166
ΔE to the lowest computed polymorph: 0.26 eV/f.u.
ΔE_f: -24 meV/atom
Size of the total moment: 0.00 μB/f.u.

***

[7]
Computed, not measured: a relaxed Tl3Cd5In2 crystal at the PBE level of DFT.

Cell lengths 12.8221, 12.8221, 6.0782 Å; angles 103.54, 103.54, 136.06 degrees
Element x y z (fractional)
Tl 0.0004 0.9996 0.2500
Tl 0.9996 0.0004 0.7500
Tl 0.1267 0.5805 0.8526
Tl 0.4195 0.8733 0.6474
Tl 0.5805 0.1267 0.3526
Tl 0.8733 0.4195 0.1474
Cd 0.1551 0.8449 0.7500
Cd 0.1560 0.8440 0.2500
Cd 0.1836 0.3514 0.7654
Cd 0.3514 0.1836 0.2654
Cd 0.4995 0.5005 0.2500
Cd 0.5005 0.4995 0.7500
Cd 0.6486 0.8164 0.7346
Cd 0.8164 0.6486 0.2346
Cd 0.8440 0.1560 0.7500
Cd 0.8449 0.1551 0.2500
In 0.2244 0.4697 0.3442
In 0.4697 0.2244 0.8442
In 0.5303 0.7756 0.1558
In 0.7756 0.5303 0.6558

Values from the calculation:
Symmetry: C2/c, No. 15
ΔE_f: 37 meV/atom
Size of the total moment: 0.00 μB/f.u.

***

[8]
Computed, not measured: a relaxed BSbPd2 crystal at the PBE level of DFT.

Cell lengths 6.9404, 6.9404, 6.9404 Å; angles 137.48, 137.48, 61.71 degrees
Element x y z (fractional)
B 0.0000 0.0000 0.0000
B 0.7500 0.2500 0.5000
Sb 0.2500 0.7500 0.5000
Sb 0.5000 0.5000 0.0000
Pd 0.0167 0.6250 0.8917
Pd 0.3750 0.2667 0.3917
Pd 0.7333 0.1250 0.1083
Pd 0.8750 0.9833 0.6083

Values from the calculation:
Symmetry: I-42d, No. 122
ΔE to the lowest computed polymorph: 0.00 eV/f.u.
Size of the total moment: 0.00 μB/f.u.
Formation energy (no corrections): 0.109 eV per atom

***

Number 1: density of states at the Fermi level 1.4 states/eV per cell, calculated density 6.60 g cm⁻³, V 114.6 Å³/cell. Number 2: density of states at the Fermi level 6.1 states/eV per cell, calculated density 9.16 g cm⁻³, V 193.2 Å³/cell. Number 3: density of states at the Fermi level 0.8 states/eV per cell, calculated density 8.00 g cm⁻³, V 235.8 Å³/cell. Number 4: density of states at the Fermi level 17.9 states/eV per cell, calculated density 9.38 g cm⁻³, V 218.3 Å³/cell. Number 5: density of states at the Fermi level 1.5 states/eV per cell, calculated density 3.81 g cm⁻³, V 199.9 Å³/cell. Number 6: density of states at the Fermi level 3.7 states/eV per cell, calculated density 4.02 g cm⁻³, V 148.4 Å³/cell. Number 7: density of states at the Fermi level 7.8 states/eV per cell, calculated density 8.62 g cm⁻³, V 541.0 Å³/cell. Number 8: density of states at the Fermi level 3.7 states/eV per cell, calculated density 7.60 g cm⁻³, V 151.0 Å³/cell.